1.
First-principles (PBE) data for a relaxed structure of ZnFeCo, as listed in Alexandria via LeMat-Bulk.

Calculated values
D(E_F) ... 3.40 states/eV/f.u.
Offset from the most stable computed form ... 0.064 eV/atom
Crystal system ... trigonal
Formation energy from the elements ... 56 meV/atom

```
3
Lattice="2.589 0.000 0.000 -1.294 2.242 0.000 0.000 0.000 6.217" Properties=species:S:1:pos:R:3 pbc="T T T"
Co 0.000 0.000 0.056
Zn 0.000 1.495 4.166
Fe 1.294 0.747 1.995
```


2.
First-principles (PBE) data for a relaxed structure of PrErGaGe, as listed in Alexandria via LeMat-Bulk.

Calculated values
D(E_F) ... 2.28 states/eV/f.u.
Offset from the most stable computed form ... 0.197 eV/atom
Crystal system ... cubic
Formation energy from the elements ... -551 meV/atom

```
4
Lattice="5.145 0.000 0.000 2.572 4.456 0.000 2.572 1.485 4.201" Properties=species:S:1:pos:R:3 pbc="T T T"
Er 0.000 0.000 0.000
Pr 5.145 2.970 2.100
Ga 7.717 4.456 3.151
Ge 2.572 1.485 1.050
```


3.
First-principles (PBE) data for a relaxed structure of Cs2TaCdFe, as listed in Alexandria via LeMat-Bulk.

Calculated values
D(E_F) ... 6.09 states/eV/f.u.
Crystal system ... tetragonal
Formation energy from the elements ... 1279 meV/atom

```
5
Lattice="-1.198 6.974 -1.468 -4.022 -0.356 1.589 2.433 1.799 6.563" Properties=species:S:1:pos:R:3 pbc="T T T"
Fe -2.011 -0.178 0.794
Cs -0.599 3.487 -0.734
Cd -1.393 4.208 3.342
Ta 0.000 0.000 0.000
Cs 1.217 0.900 3.281
```


4.
First-principles (PBE) data for a relaxed structure of La2ZrTaAg, as listed in Alexandria via LeMat-Bulk.

Calculated values
D(E_F) ... 9.49 states/eV/f.u.
Crystal system ... tetragonal
Formation energy from the elements ... 1112 meV/atom

```
5
Lattice="-0.165 5.478 0.968 -4.108 -0.670 3.091 3.391 -0.668 4.362" Properties=species:S:1:pos:R:3 pbc="T T T"
Ta -2.054 -0.335 1.545
Ag 0.000 0.000 0.000
La -0.082 2.739 0.484
Zr -0.441 2.070 4.210
La 1.696 -0.334 2.181
```


5.
First-principles (PBE) data for a relaxed structure of In2PtCl2, as listed in Alexandria via LeMat-Bulk.

Calculated values
D(E_F) ... 0.85 states/eV/f.u.
Formation energy without anion corrections ... -0.35 eV per atom
Offset from the most stable computed form ... 0.000 eV/atom
Crystal system ... tetragonal

```
10
Lattice="-5.137 -2.804 4.719 0.939 -6.817 -3.028 3.526 -0.965 3.265" Properties=species:S:1:pos:R:3 pbc="T T T"
Cl 0.136 -2.506 2.792
In -0.960 -2.464 0.309
Pt 0.000 0.000 0.000
In -3.556 -3.666 2.757
Cl -0.807 -8.080 2.164
In -0.641 -5.955 -1.066
Cl -2.254 -5.204 4.576
In -3.237 -7.157 1.382
Cl 1.583 -5.381 0.381
Pt -2.099 -4.810 0.846
```


6.
First-principles (PBE) data for a relaxed structure of CaZrIr2, as listed in Alexandria via LeMat-Bulk.

Calculated values
D(E_F) ... 3.29 states/eV/f.u.
Crystal system ... orthorhombic
Formation energy from the elements ... -268 meV/atom

```
4
Lattice="-3.541 -2.913 -3.140 1.625 -4.958 -1.914 -0.590 2.924 4.689" Properties=species:S:1:pos:R:3 pbc="T T T"
Ir -1.900 -7.805 -5.012
Zr -0.995 -4.087 -2.624
Ir -2.523 -1.876 -0.434
Ca 0.039 -2.985 0.124
```


7.
First-principles (PBE) data for a relaxed structure of TmMgTlPb, as listed in Alexandria via LeMat-Bulk.

Calculated values
D(E_F) ... 3.08 states/eV/f.u.
Offset from the most stable computed form ... 0.107 eV/atom
Crystal system ... cubic
Formation energy from the elements ... -154 meV/atom

```
4
Lattice="5.310 0.000 0.000 2.655 4.599 0.000 2.655 1.533 4.336" Properties=species:S:1:pos:R:3 pbc="T T T"
Tl 0.000 0.000 0.000
Pb 5.310 3.066 2.168
Tm 2.655 1.533 1.084
Mg 7.965 4.599 3.252
```


8.
First-principles (PBE) data for a relaxed structure of SrYZn2Ga2, as listed in Alexandria via LeMat-Bulk.

Calculated values
D(E_F) ... 2.76 states/eV/f.u.
Crystal system ... trigonal
Formation energy from the elements ... -498 meV/atom

```
6
Lattice="4.513 0.000 0.000 -2.257 3.909 0.000 0.000 0.000 7.756" Properties=species:S:1:pos:R:3 pbc="T T T"
Sr 0.000 0.000 0.000
Ga 2.257 1.303 2.280
Y 0.000 0.000 3.878
Ga 0.000 2.606 5.476
Zn 0.000 2.606 2.302
Zn 2.257 1.303 5.453
```


> Look up the D(E_F) of the sixth one.

3.29 states/eV/f.u.


> Which formula does entry 3 have?

Cs2TaCdFe


> Among the records above, which one has the lowest D(E_F)?

In2PtCl2


> Among the records above, which one has the lowest D(E_F)?

In2PtCl2